1.
A geometry-optimized HfScH structure, computed with PBE-GGA.

The structure in POSCAR format:
```
HfScH
1.0
10.3728 0.0000 0.0000
0.0000 3.2167 0.0000
0.0000 0.0000 5.6157
H Hf Sc
4 4 4
direct
0.8630 0.2500 0.4110 H
0.1370 0.7500 0.5890 H
0.3630 0.2500 0.0890 H
0.6370 0.7500 0.9110 H
0.2502 0.7500 0.9188 Hf
0.7498 0.2500 0.0812 Hf
0.2498 0.2500 0.4188 Hf
0.7502 0.7500 0.5812 Hf
0.9993 0.7500 0.2487 Sc
0.5007 0.2500 0.7487 Sc
0.0007 0.2500 0.7513 Sc
0.4993 0.7500 0.2513 Sc
```

Computed properties:
* symmetry: Pnma, No. 62


2.
A geometry-optimized HfScH structure, computed with PBE-GGA.

The structure in POSCAR format:
```
HfScH
1.0
4.9824 0.0000 0.0000
0.0000 6.7451 0.0000
0.0000 0.0000 5.7603
Sc Hf H
4 4 4
direct
0.7501 0.3646 0.0957 Sc
0.2499 0.8646 0.4043 Sc
0.7501 0.1354 0.5957 Sc
0.2499 0.6354 0.9043 Sc
0.7500 0.8856 0.0652 Hf
0.7500 0.6144 0.5652 Hf
0.2500 0.1144 0.9348 Hf
0.2500 0.3856 0.4348 Hf
0.2496 0.1217 0.5899 H
0.7504 0.6217 0.9101 H
0.7504 0.8783 0.4101 H
0.2496 0.3783 0.0899 H
```

Computed properties:
* symmetry: Pnma, No. 62


no.,ΔE to the lowest computed polymorph (eV per atom)
1,0.0451
2,0.0000